Material: Dy4AlAu
Method: DFT, GGA-PBE
State: optimized geometry

Cell lengths 5.216, 6.325, 11.035 Å; angles 90.00, 103.67, 90.00 degrees
Sites, in units of the cell vectors:
Dy 0.286 0.050 0.571
Dy 0.308 0.566 0.616
Dy 0.440 0.861 0.879
Dy 0.560 0.361 0.121
Dy 0.121 0.792 0.241
Dy 0.714 0.550 0.429
Dy 0.879 0.292 0.759
Dy 0.692 0.066 0.384
Al 0.840 0.813 0.680
Al 0.160 0.313 0.320
Au 0.427 0.351 0.855
Au 0.573 0.851 0.145

Formation energy, eV per atom: -0.241
Total moment, μB per atom: 0.00